DFT (GGA-PBEsol) results for a geometry-optimized MgH12SeO10 structure.

Properties
crystal system: monoclinic
size of the total moment: 0.00 μB per atom
DFT total energy: -5.232 eV per atom

```
MgH12SeO10
1.0
-2.977 3.527 -4.104
-6.031 -0.238 1.313
-1.378 20.833 13.701
Mg H Se O
4 48 4 40
Direct
0.566 0.434 0.250 Mg
0.500 0.500 0.000 Mg
0.434 0.566 0.750 Mg
0.500 0.500 0.500 Mg
0.010 0.427 0.260 H
0.462 0.838 0.419 H
0.573 0.759 0.310 H
0.742 0.813 0.995 H
0.831 0.416 0.413 H
0.846 0.492 0.159 H
0.579 0.830 0.051 H
0.616 0.705 0.155 H
0.206 0.854 0.447 H
0.953 0.216 0.298 H
0.318 0.824 0.297 H
0.772 0.188 0.437 H
0.427 0.010 0.760 H
0.838 0.462 0.919 H
0.759 0.573 0.810 H
0.813 0.742 0.495 H
0.416 0.831 0.913 H
0.492 0.846 0.659 H
0.830 0.579 0.551 H
0.705 0.616 0.655 H
0.812 0.228 0.063 H
0.854 0.206 0.947 H
0.216 0.953 0.798 H
0.176 0.682 0.203 H
0.824 0.318 0.797 H
0.784 0.047 0.202 H
0.146 0.794 0.053 H
0.188 0.772 0.937 H
0.295 0.384 0.345 H
0.170 0.421 0.449 H
0.508 0.154 0.341 H
0.584 0.169 0.087 H
0.187 0.258 0.505 H
0.241 0.427 0.190 H
0.162 0.538 0.081 H
0.573 0.990 0.240 H
0.228 0.812 0.563 H
0.682 0.176 0.703 H
0.047 0.784 0.702 H
0.794 0.146 0.553 H
0.384 0.295 0.845 H
0.421 0.170 0.949 H
0.154 0.508 0.841 H
0.169 0.584 0.587 H
0.258 0.187 0.005 H
0.427 0.241 0.690 H
0.538 0.162 0.581 H
0.990 0.573 0.740 H
0.927 0.812 0.377 Se
0.812 0.927 0.877 Se
0.188 0.073 0.123 Se
0.073 0.188 0.623 Se
0.922 0.908 0.437 O
0.657 0.868 0.363 O
0.908 0.922 0.937 O
0.470 0.948 0.116 O
0.370 0.801 0.453 O
0.868 0.657 0.863 O
0.883 0.366 0.278 O
0.479 0.761 0.280 O
0.701 0.575 0.179 O
0.637 0.743 0.019 O
0.709 0.358 0.434 O
0.068 0.942 0.328 O
0.948 0.470 0.616 O
0.058 0.932 0.172 O
0.801 0.370 0.953 O
0.366 0.883 0.778 O
0.761 0.479 0.780 O
0.575 0.701 0.679 O
0.743 0.637 0.519 O
0.358 0.709 0.934 O
0.642 0.291 0.066 O
0.257 0.363 0.481 O
0.425 0.299 0.321 O
0.239 0.521 0.220 O
0.634 0.117 0.222 O
0.199 0.630 0.047 O
0.942 0.068 0.828 O
0.052 0.530 0.384 O
0.932 0.058 0.672 O
0.291 0.642 0.566 O
0.363 0.257 0.981 O
0.299 0.425 0.821 O
0.521 0.239 0.720 O
0.117 0.634 0.722 O
0.132 0.343 0.137 O
0.630 0.199 0.547 O
0.530 0.052 0.884 O
0.092 0.078 0.063 O
0.343 0.132 0.637 O
0.078 0.092 0.563 O
```